! Cu2TcBr PBE relaxed; values from VASP
&SYSTEM
  ibrav = 0, nat = 4, ntyp = 3
/
ATOMIC_SPECIES
Br 79.90 Br.upf
Cu 63.55 Cu.upf
Tc 98.00 Tc.upf
ATOMIC_POSITIONS angstrom
Br 2.884 0.861 1.193
Cu 1.674 0.500 4.112
Cu 5.733 1.711 2.396
Tc 8.653 2.583 3.580
CELL_PARAMETERS angstrom
5.368 0.076 0.326
4.531 2.879 0.326
1.638 0.489 4.121
! Uncorrected energy = -4.306 eV/atom
! Symmetry = No. 12

! MnCu2Pd2 PBE relaxed; values from VASP
&SYSTEM
  ibrav = 0, nat = 10, ntyp = 3
/
ATOMIC_SPECIES
Mn 54.94 Mn.upf
Cu 63.55 Cu.upf
Pd 106.42 Pd.upf
ATOMIC_POSITIONS angstrom
Mn 0.000 0.000 0.000
Mn 3.396 -0.419 3.655
Cu 2.965 2.558 3.104
Cu 4.626 0.948 6.098
Cu 2.070 -1.840 6.016
Cu 0.410 -0.231 3.022
Pd 5.218 1.610 3.679
Pd 4.623 -1.546 5.815
Pd 1.573 -2.449 3.632
Pd 2.169 0.708 1.496
CELL_PARAMETERS angstrom
-1.756 1.556 1.810
1.220 -4.659 5.190
5.571 3.821 2.120
! Energy of formation from the pure elements = 0.047 eV per atom
! Symmetry = No. 127

! NaErSi2S6 PBE relaxed; values from VASP
&SYSTEM
  ibrav = 0, nat = 20, ntyp = 4
/
ATOMIC_SPECIES
Na 22.99 Na.upf
Er 167.26 Er.upf
Si 28.09 Si.upf
S 32.06 S.upf
ATOMIC_POSITIONS angstrom
Na 3.648 2.664 5.701
Na 6.953 5.550 2.824
Er 3.648 7.281 1.251
Er 6.953 0.933 7.273
Si 4.441 6.572 5.433
Si 2.855 3.076 1.805
Si 6.160 1.642 3.092
Si 7.746 5.138 6.719
S 4.601 8.007 6.992
S 2.695 1.571 0.313
S 6.000 0.207 1.532
S 7.906 6.643 8.211
S 4.917 7.400 3.567
S 2.379 4.971 1.047
S 5.684 0.815 4.957
S 8.222 3.243 7.477
S 9.087 5.563 5.033
S 4.818 3.343 2.729
S 1.514 2.651 3.492
S 5.782 4.871 5.795
CELL_PARAMETERS angstrom
6.610 -0.095 -0.099
1.996 8.271 0.346
1.996 0.039 8.278
! Uncorrected energy = -5.220 eV/atom
! Symmetry = No. 15

! NaAg6Pd PBE relaxed; values from VASP
&SYSTEM
  ibrav = 0, nat = 8, ntyp = 3
/
ATOMIC_SPECIES
Na 22.99 Na.upf
Ag 107.87 Ag.upf
Pd 106.42 Pd.upf
ATOMIC_POSITIONS angstrom
Na -1.263 2.699 2.500
Ag 0.294 2.219 0.031
Ag 1.379 3.989 2.174
Ag 1.186 1.046 2.624
Ag -1.461 -0.201 2.924
Ag -0.379 1.563 5.060
Ag -0.571 -1.372 5.510
Pd 0.493 5.119 -0.388
CELL_PARAMETERS angstrom
-4.433 0.562 1.780
1.758 -2.310 5.107
0.378 5.795 -0.888
! Energy of formation from the pure elements = -0.012 eV per atom
! Symmetry = No. 187

! ZnSb2RuI PBE relaxed; values from VASP
&SYSTEM
  ibrav = 0, nat = 5, ntyp = 4
/
ATOMIC_SPECIES
I 126.90 I.upf
Sb 121.76 Sb.upf
Zn 65.41 Zn.upf
Ru 101.07 Ru.upf
ATOMIC_POSITIONS angstrom
I 0.000 0.000 0.000
Sb 0.000 0.000 2.877
Sb 2.877 0.000 0.000
Zn 0.000 2.557 0.000
Ru 2.877 2.557 2.877
CELL_PARAMETERS angstrom
5.753 0.000 0.000
0.000 5.114 0.000
0.000 0.000 5.753
! Uncorrected energy = -2.360 eV/atom
! Symmetry = No. 123

! CdInSe2Br PBE relaxed; values from VASP
&SYSTEM
  ibrav = 0, nat = 5, ntyp = 4
/
ATOMIC_SPECIES
Cd 112.41 Cd.upf
Se 78.96 Se.upf
Br 79.90 Br.upf
In 114.82 In.upf
ATOMIC_POSITIONS angstrom
Cd 0.000 0.000 0.000
Se 0.000 2.627 0.000
Se 2.627 0.000 0.000
Br 0.000 0.000 2.900
In 2.627 2.627 2.900
CELL_PARAMETERS angstrom
5.253 0.000 0.000
0.000 5.253 0.000
0.000 0.000 5.801
! Uncorrected energy = -2.457 eV/atom
! Symmetry = No. 123

! LiY2V PBE relaxed; values from VASP
&SYSTEM
  ibrav = 0, nat = 4, ntyp = 3
/
ATOMIC_SPECIES
Y 88.91 Y.upf
Li 6.94 Li.upf
V 50.94 V.upf
ATOMIC_POSITIONS angstrom
Y -3.568 7.734 -1.218
Y -4.221 1.797 -4.332
Li -3.895 4.766 -2.775
V 0.000 0.000 0.000
CELL_PARAMETERS angstrom
-0.491 -0.047 -3.224
-2.915 -0.845 -1.193
-4.382 10.424 -1.133
! Energy of formation from the pure elements = 0.681 eV per atom
! Symmetry = No. 166

! Ir2ClF PBE relaxed; values from VASP
&SYSTEM
  ibrav = 0, nat = 4, ntyp = 3
/
ATOMIC_SPECIES
F 19.00 F.upf
Ir 192.22 Ir.upf
Cl 35.45 Cl.upf
ATOMIC_POSITIONS angstrom
F 0.000 0.000 0.000
Ir 1.502 1.502 1.502
Ir 4.506 4.506 4.506
Cl 3.004 3.004 3.004
CELL_PARAMETERS angstrom
0.000 3.004 3.004
3.004 0.000 3.004
3.004 3.004 0.000
! Uncorrected energy = -4.373 eV/atom
! Symmetry = No. 225